Entry 1:
Entry from Alexandria: AlAu at its PBEsol-relaxed geometry (SCAN).

Summary:
The energy relative to the elements is -0.521 eV/atom. The total energy is -233.853 eV for the cell shown. The crystal system is monoclinic.

Cell lengths 3.5398, 4.7619, 6.7487 Å; angles 69.28, 74.80, 68.18 degrees
Fractional positions:
Al: 0.3355 0.0175 0.3115
Al: 0.3733 0.5065 0.7470
Al: 0.0338 0.9615 0.9709
Au: 0.0200 0.5462 0.4139
Au: 0.7250 0.4763 0.0737
Au: 0.6791 0.9920 0.6498

Entry 2:
Entry from Alexandria: CrCu2Rh at its PBEsol-relaxed geometry (SCAN).

Summary:
The energy relative to the elements is 0.157 eV/atom. The total energy is -81.927 eV for the cell shown. The crystal system is monoclinic.

Cell lengths 2.5668, 4.4250, 5.0046 Å; angles 114.98, 102.85, 94.41 degrees
Site moments in Bohr magnetons follow the coordinates.
Fractional positions:
Cu: 0.0000 0.0000 0.5000  0.09
Cu: 0.5000 0.5000 0.5000  0.09
Rh: 0.5000 0.0000 0.0000  -0.07
Cr: 0.0000 0.5000 0.0000  3.21

Entry 3:
Entry from Alexandria: Ni3PdF at its PBEsol-relaxed geometry (SCAN).

Summary:
The value obtained for the uncorrected formation energy is 1.049 eV/atom. The total energy is -79.592 eV for the cell shown. The crystal system is cubic.

Cell lengths 4.4944, 4.4944, 4.4944 Å; angles 90.00, 90.00, 90.00 degrees
Site moments in Bohr magnetons follow the coordinates.
Fractional positions:
Pd: 0.0000 0.0000 0.0000  0.10
Ni: 0.0000 0.0000 0.5000  1.24
Ni: 0.0000 0.5000 0.0000  1.24
Ni: 0.5000 0.0000 0.0000  1.24
F: 0.5000 0.5000 0.5000  0.01

Entry 4:
Entry from Alexandria: Nb2CrCu2 at its PBEsol-relaxed geometry (SCAN).

Summary:
The energy relative to the elements is 0.462 eV/atom. The total energy is -112.732 eV for the cell shown. The crystal system is tetragonal.

Cell lengths 3.1269, 3.1269, 7.9538 Å; angles 101.34, 101.34, 90.00 degrees
Fractional positions:
Cu: 0.7500 0.2500 0.5000
Cu: 0.2500 0.7500 0.5000
Nb: 0.5962 0.5962 0.1924
Nb: 0.4038 0.4038 0.8076
Cr: 0.0000 0.0000 0.0000

Entry 5:
Entry from Alexandria: SrTlRh2 at its PBEsol-relaxed geometry (SCAN).

Summary:
For the offset from the most stable computed form, the calculation gives 437 meV/atom. The energy relative to the elements is 0.238 eV/atom. The total energy is -161.226 eV for the cell shown. The crystal system is cubic.

Cell lengths 4.8124, 4.8124, 4.8124 Å; angles 60.00, 60.00, 60.00 degrees
Site moments in Bohr magnetons follow the coordinates.
Fractional positions:
Rh: 0.7500 0.7500 0.7500  0.54
Rh: 0.0000 0.0000 0.0000  0.51
Tl: 0.2500 0.2500 0.2500  -0.02
Sr: 0.5000 0.5000 0.5000  0.01

Entry 6:
Entry from Alexandria: Ba5Y at its PBEsol-relaxed geometry (SCAN).

Summary:
The energy relative to the elements is 0.140 eV/atom. The total energy is -224.753 eV for the cell shown. The crystal system is tetragonal.

Cell lengths 4.3969, 4.3969, 16.1323 Å; angles 90.00, 90.00, 90.00 degrees
Site moments in Bohr magnetons follow the coordinates.
Fractional positions:
Ba: 0.5000 0.5000 0.3113  0.04
Ba: 0.5000 0.5000 0.6887  0.04
Ba: 0.0000 0.0000 0.8664  0.00
Ba: 0.0000 0.0000 0.1336  0.00
Ba: 0.0000 0.0000 0.5000  0.05
Y: 0.5000 0.5000 0.0000  -0.07

Entry 7:
Entry from Alexandria: Sr5Ag at its PBEsol-relaxed geometry (SCAN).

Summary:
For the offset from the most stable computed form, the calculation gives 20 meV/atom. The energy relative to the elements is -0.055 eV/atom. The total energy is -143.073 eV for the cell shown. The crystal system is monoclinic.

Cell lengths 4.0869, 7.2834, 9.8805 Å; angles 110.84, 90.00, 106.29 degrees
Fractional positions:
Sr: 0.5965 0.1929 0.8197
Sr: 0.3475 0.6949 0.0685
Sr: 0.6455 0.2911 0.2334
Sr: 0.2987 0.5975 0.6552
Sr: 0.9721 0.9442 0.4440
Ag: 0.9730 0.9460 0.9458

Entry 8:
Entry from Alexandria: Cr2CuSe4 at its PBEsol-relaxed geometry (SCAN).

Summary:
The value obtained for the uncorrected formation energy is -0.730 eV/atom. The total energy is -274.790 eV for the cell shown. The crystal system is cubic.

Cell lengths 7.2222, 7.2222, 7.2222 Å; angles 60.00, 60.00, 60.00 degrees
Site moments in Bohr magnetons follow the coordinates.
Fractional positions:
Se: 0.8678 0.8678 0.3967  -0.16
Se: 0.8678 0.3967 0.8678  -0.16
Se: 0.3822 0.3822 0.8533  -0.16
Se: 0.8533 0.3822 0.3822  -0.16
Se: 0.8678 0.8678 0.8678  -0.16
Se: 0.3967 0.8678 0.8678  -0.16
Se: 0.3822 0.8533 0.3822  -0.16
Se: 0.3822 0.3822 0.3822  -0.16
Cu: 0.2500 0.2500 0.2500  -0.13
Cu: 0.0000 0.0000 0.0000  -0.13
Cr: 0.1250 0.6250 0.6250  2.96
Cr: 0.6250 0.6250 0.6250  2.96
Cr: 0.6250 0.6250 0.1250  2.96
Cr: 0.6250 0.1250 0.6250  2.96

Entry 9:
Entry from Alexandria: ZnCrCd4 at its PBEsol-relaxed geometry (SCAN).

Summary:
The energy relative to the elements is 0.282 eV/atom. The total energy is -151.866 eV for the cell shown. The crystal system is cubic.

Cell lengths 5.5399, 5.5399, 5.5399 Å; angles 60.00, 60.00, 60.00 degrees
Site moments in Bohr magnetons follow the coordinates.
Fractional positions:
Cd: 0.3752 0.3752 0.8745  -0.02
Cd: 0.3752 0.3752 0.3752  -0.02
Cd: 0.8745 0.3752 0.3752  -0.02
Cd: 0.3752 0.8745 0.3752  -0.02
Cr: 0.7500 0.7500 0.7500  4.08
Zn: 0.0000 0.0000 0.0000  -0.02

Entry 10:
Entry from Alexandria: Ag2RuRh at its PBEsol-relaxed geometry (SCAN).

Summary:
For the offset from the most stable computed form, the calculation gives 125 meV/atom. The energy relative to the elements is 0.465 eV/atom. The total energy is -129.472 eV for the cell shown. The crystal system is monoclinic.

Cell lengths 2.6686, 4.7318, 4.7615 Å; angles 90.00, 90.00, 91.74 degrees
Site moments in Bohr magnetons follow the coordinates.
Fractional positions:
Ag: 0.7541 0.7498 0.0000  -0.02
Ag: 0.2459 0.2502 0.0000  -0.02
Rh: 0.0000 0.5000 0.5000  -0.61
Ru: 0.5000 0.0000 0.5000  -1.46

Entry 11:
Entry from Alexandria: LaCd2Cl at its PBEsol-relaxed geometry (SCAN).

Summary:
The value obtained for the uncorrected formation energy is -0.711 eV/atom. For the offset from the most stable computed form, the calculation gives 60 meV/atom. The total energy is -114.757 eV for the cell shown. The crystal system is cubic.

Cell lengths 5.1186, 5.1186, 5.1186 Å; angles 60.00, 60.00, 60.00 degrees
Fractional positions:
Cl: 0.5000 0.5000 0.5000
Cd: 0.0000 0.0000 0.0000
Cd: 0.2500 0.2500 0.2500
La: 0.7500 0.7500 0.7500

Entry 12:
Entry from Alexandria: KYHf2Zr at its PBEsol-relaxed geometry (SCAN).

Summary:
The energy relative to the elements is 1.580 eV/atom. The total energy is -184.318 eV for the cell shown. The crystal system is tetragonal.

Cell lengths 5.3016, 5.3549, 5.3549 Å; angles 90.00, 90.00, 90.00 degrees
Site moments in Bohr magnetons follow the coordinates.
Fractional positions:
Hf: 0.0000 0.0000 0.5000  0.64
Hf: 0.0000 0.5000 0.0000  0.64
K: 0.5000 0.5000 0.5000  0.01
Zr: 0.5000 0.0000 0.0000  0.82
Y: 0.0000 0.0000 0.0000  0.67

no.,total magnetization (μB per formula unit)
1,0.00
2,3.44
3,3.98
4,0.00
5,0.99
6,0.23
7,0.17
8,5.29
9,4.45
10,2.08
11,0.00
12,3.79